# AgAsCl3

Crystalline AgAsCl3 at its relaxed geometry (PBE, Alexandria via LeMat-Bulk).

Output
Its relative energy among the computed polymorphs is 73.0 kJ per mole of atoms. The value obtained for the size of the total moment is 1.82 μB/f.u. For the uncorrected formation energy, the calculation gives 0.248 eV per atom.

Structure (POSCAR):
```
AgAsCl3
1.0
5.0446 0.0000 0.0000
0.0000 5.0446 0.0000
0.0000 0.0000 5.0446
Ag As Cl
1 1 3
direct
0.0000 0.0000 0.0000 Ag
0.5000 0.5000 0.5000 As
0.0000 0.0000 0.5000 Cl
0.0000 0.5000 0.0000 Cl
0.5000 0.0000 0.0000 Cl
```